Below is a relaxed TlMo2Br crystal, with properties calculated at the PBE level.

The structure belongs to space group Imm2 (No. 44); the cell edges are 3.305, 4.876 and 11.873 Å and the angles 90.00°, 90.00° and 90.00°. The inequivalent atoms are Tl at (0.000, 0.000, 0.000), Mo at (0.000, 0.000, 0.483), Mo at (0.000, 0.500, 0.128) and Br at (0.000, 0.500, 0.771).

Its total moment is 0.0 μB/cell. The formation energy from raw total energies is 58 kJ/mol of atoms. The density of states at the Fermi level comes out at 1.61 states/eV/cell.